# 1
Entry from Alexandria via LeMat-Bulk: a relaxed structure of Nd2CdPdO5 (PBE).

```
Nd2CdPdO5
1.0
-2.861 3.039 3.999
-5.445 0.178 -4.031
-2.242 -5.762 2.775
Cd O Nd Pd
2 10 4 2
direct
0.000 0.000 0.000 Cd
0.000 0.500 0.500 Cd
0.500 0.000 0.000 O
0.751 0.644 0.856 O
0.249 0.856 0.356 O
0.751 0.144 0.644 O
0.249 0.356 0.144 O
0.249 0.644 0.856 O
0.751 0.356 0.144 O
0.249 0.144 0.644 O
0.751 0.856 0.356 O
0.500 0.500 0.500 O
0.500 0.328 0.828 Nd
0.500 0.172 0.328 Nd
0.500 0.672 0.172 Nd
0.500 0.828 0.672 Nd
0.000 0.500 0.000 Pd
0.000 0.000 0.500 Pd
```

Calculated values
Raw formation energy in kJ per mole of atoms: -191.08
Crystal system: tetragonal
Space group: No. 127
Total energy in eV per atom: -6.473
Size of the total moment in μB/cell: 0.00

---

# 2
Entry from Alexandria via LeMat-Bulk: a relaxed structure of Nd2CdPdO6 (PBE).

```
Nd2CdPdO6
1.0
-1.488 5.218 -1.387
-4.481 -2.171 -3.361
-4.945 0.309 6.394
Pd O Cd Nd
2 12 2 4
direct
0.000 0.500 0.000 Pd
0.500 0.000 0.500 Pd
0.173 0.213 0.071 O
0.327 0.713 0.429 O
0.702 0.320 0.944 O
0.298 0.680 0.056 O
0.827 0.787 0.929 O
0.202 0.180 0.444 O
0.798 0.820 0.556 O
0.126 0.446 0.766 O
0.626 0.054 0.266 O
0.673 0.287 0.571 O
0.874 0.554 0.234 O
0.374 0.946 0.734 O
0.000 0.500 0.500 Cd
0.500 0.000 0.000 Cd
0.977 0.070 0.747 Nd
0.023 0.930 0.253 Nd
0.477 0.430 0.247 Nd
0.523 0.570 0.753 Nd
```

Calculated values
Raw formation energy in kJ per mole of atoms: -195.43
Crystal system: monoclinic
Space group: No. 14
Total energy in eV per atom: -6.565
Size of the total moment in μB/cell: 0.00

---

# 3
Entry from Alexandria via LeMat-Bulk: a relaxed structure of PmNd2CdO (PBE).

```
PmNd2CdO
1.0
-2.302 -2.893 3.283
4.183 -0.250 2.713
-1.421 4.041 2.564
Nd Pm O Cd
2 1 1 1
direct
0.000 0.000 0.500 Nd
0.000 0.500 0.000 Nd
0.500 0.000 0.000 Pm
0.000 0.000 0.000 O
0.500 0.500 0.500 Cd
```

Calculated values
Raw formation energy in kJ per mole of atoms: -123.91
Density of states at the Fermi level in states/eV per cell: 3.75
Crystal system: tetragonal
Space group: No. 123
Total energy in eV per atom: -5.316
Size of the total moment in μB/cell: 0.00

---

# 4
Entry from Alexandria via LeMat-Bulk: a relaxed structure of Pr2NdCdO (PBE).

```
Pr2NdCdO
1.0
-0.083 -3.337 -3.709
2.730 -3.178 2.798
-4.234 -1.983 1.879
Cd Nd Pr O
1 1 2 1
direct
0.500 0.500 0.500 Cd
0.500 0.000 0.000 Nd
0.000 0.000 0.500 Pr
0.000 0.500 0.000 Pr
0.000 0.000 0.000 O
```

Calculated values
Raw formation energy in kJ per mole of atoms: -122.16
Density of states at the Fermi level in states/eV per cell: 4.50
Crystal system: tetragonal
Space group: No. 123
Total energy in eV per atom: -5.306
Size of the total moment in μB/cell: 0.00

---

# 5
Entry from Alexandria via LeMat-Bulk: a relaxed structure of PrNd2CdO (PBE).

```
PrNd2CdO
1.0
5.037 0.000 0.000
0.000 4.992 0.000
0.000 0.000 4.992
Pr Cd O Nd
1 1 1 2
direct
0.500 0.000 0.000 Pr
0.500 0.500 0.500 Cd
0.000 0.000 0.000 O
0.000 0.500 0.000 Nd
0.000 0.000 0.500 Nd
```

Calculated values
Raw formation energy in kJ per mole of atoms: -122.71
Density of states at the Fermi level in states/eV per cell: 4.28
Crystal system: tetragonal
Space group: No. 123
Total energy in eV per atom: -5.309
Size of the total moment in μB/cell: 0.00

---

# 6
Entry from Alexandria via LeMat-Bulk: a relaxed structure of NdCdPtO4 (PBE).

```
NdCdPtO4
1.0
7.202 0.000 0.000
-3.601 5.365 -0.947
0.000 -3.737 6.146
Pt O Nd Cd
2 8 2 2
direct
0.000 0.500 0.500 Pt
0.500 0.500 0.500 Pt
0.289 0.003 0.751 O
0.787 0.575 0.355 O
0.714 0.003 0.751 O
0.213 0.425 0.645 O
0.213 0.425 0.280 O
0.787 0.575 0.720 O
0.286 0.997 0.249 O
0.711 0.997 0.249 O
0.500 0.000 0.000 Nd
0.500 0.000 0.500 Nd
0.085 0.170 0.835 Cd
0.915 0.830 0.165 Cd
```

Calculated values
Raw formation energy in kJ per mole of atoms: -143.80
Density of states at the Fermi level in states/eV per cell: 3.95
Crystal system: orthorhombic
Space group: No. 74
Total energy in eV per atom: -5.998
Size of the total moment in μB/cell: 0.00